A relaxed structure of BeAgBi2I. Source: Alexandria, functional PBE.

Unit cell a=5.6776 b=5.6776 c=4.5090 alpha=90.00 beta=90.00 gamma=90.00
Space group P4/mmm (No. 123)
Inequivalent atoms, fractional coordinates:
1 Be 0.0000 0.0000 0.0000 (multiplicity 1)
2 Ag 0.0000 0.0000 0.5000 (multiplicity 1)
3 Bi 0.0000 0.5000 0.5000 (multiplicity 2)
4 I 0.5000 0.5000 0.0000 (multiplicity 1)

## Properties
**Uncorrected formation energy**: 3.0 eV per formula unit
**Electronic total energy**: -12.9 eV for the cell shown

=====

A relaxed structure of Be2AgBiRu. Source: Alexandria, functional PBE.

Unit cell a=4.2595 b=4.2595 c=5.5085 alpha=90.00 beta=90.00 gamma=90.00
Space group P4/mmm (No. 123)
Inequivalent atoms, fractional coordinates:
1 Be 0.0000 0.5000 0.0000 (multiplicity 2)
2 Ag 0.0000 0.0000 0.0000 (multiplicity 1)
3 Bi 0.0000 0.0000 0.5000 (multiplicity 1)
4 Ru 0.5000 0.5000 0.5000 (multiplicity 1)

## Properties
**Electronic total energy**: -16.9 eV for the cell shown
**Formation energy**: 1.31 eV/atom

=====

A relaxed structure of TaBeAg2Bi. Source: Alexandria, functional PBE.

Unit cell a=4.4664 b=4.4664 c=4.7391 alpha=90.00 beta=90.00 gamma=90.00
Space group P4/mmm (No. 123)
Inequivalent atoms, fractional coordinates:
1 Ta 0.0000 0.0000 0.0000 (multiplicity 1)
2 Be 0.0000 0.0000 0.5000 (multiplicity 1)
3 Ag 0.0000 0.5000 0.5000 (multiplicity 2)
4 Bi 0.5000 0.5000 0.0000 (multiplicity 1)

## Properties
**E above lowest polymorph**: 0.0 meV per atom
**Electronic total energy**: -22.5 eV for the cell shown
**Formation energy**: 0.53 eV/atom

=====

A relaxed structure of TaBeAg2Bi. Source: Alexandria, functional PBE.

Unit cell a=4.3828 b=4.3828 c=5.1492 alpha=90.00 beta=90.00 gamma=90.00
Space group P4/mmm (No. 123)
Inequivalent atoms, fractional coordinates:
1 Ta 0.0000 0.0000 0.0000 (multiplicity 1)
2 Be 0.5000 0.5000 0.5000 (multiplicity 1)
3 Ag 0.0000 0.5000 0.5000 (multiplicity 2)
4 Bi 0.5000 0.5000 0.0000 (multiplicity 1)

## Properties
**E above lowest polymorph**: 410.7 meV per atom
**Electronic total energy**: -20.5 eV for the cell shown
**Formation energy**: 0.94 eV/atom

=====

A relaxed structure of Y2BeAgBi. Source: Alexandria, functional PBE.

Unit cell a=5.5480 b=5.5480 c=4.4040 alpha=90.00 beta=90.00 gamma=90.00
Space group P4/mmm (No. 123)
Inequivalent atoms, fractional coordinates:
1 Y 0.0000 0.5000 0.0000 (multiplicity 2)
2 Be 0.0000 0.0000 0.5000 (multiplicity 1)
3 Ag 0.0000 0.0000 0.0000 (multiplicity 1)
4 Bi 0.5000 0.5000 0.5000 (multiplicity 1)

## Properties
**Electronic total energy**: -23.2 eV for the cell shown
**Formation energy**: 0.04 eV/atom

=====

A relaxed structure of BeAg2Br. Source: Alexandria, functional PBE.

Unit cell a=3.0555 b=4.4806 c=12.1522 alpha=90.00 beta=90.00 gamma=90.00
Space group Imm2 (No. 44)
Inequivalent atoms, fractional coordinates:
1 Be 0.0000 0.0000 0.0000 (multiplicity 2)
2 Ag 0.0000 0.0000 0.4602 (multiplicity 2)
3 Ag 0.0000 0.5000 0.3316 (multiplicity 2)
4 Br 0.0000 0.5000 0.6403 (multiplicity 2)

## Properties
**E above lowest polymorph**: 129.7 meV per atom
**Uncorrected formation energy**: 0.7 eV per formula unit
**Electronic total energy**: -20.8 eV for the cell shown